No. 1
An optimized crystal structure of SnTe2Pd4. Source: Alexandria, functional PBE.

Computed properties:
Offset from the most stable computed form in eV per atom: 0.000
Formation energy (no corrections) in kcal/mol of atoms: -6.2
VASP energy in eV per atom: -4.7066

Cell lengths 4.167, 7.365, 9.841 Å; angles 90.00, 90.00, 106.43 degrees
Element x y z (fractional)
Pd  0.755  0.509  0.393
Pd  0.500  0.000  0.000
Pd  0.500  0.000  0.500
Pd  0.755  0.509  0.107
Pd  0.949  0.899  0.250
Pd  0.245  0.491  0.893
Pd  0.245  0.491  0.607
Pd  0.051  0.101  0.750
Te  0.111  0.221  0.414
Te  0.111  0.221  0.086
Te  0.889  0.779  0.914
Te  0.889  0.779  0.586
Sn  0.335  0.670  0.250
Sn  0.665  0.330  0.750

No. 2
An optimized crystal structure of SnTePd5. Source: Alexandria, functional PBE.

Computed properties:
Formation energy (no corrections) in kcal/mol of atoms: -1.9
VASP energy in eV per atom: -4.8123

Cell lengths 7.436, 7.436, 9.475 Å; angles 51.58, 51.58, 63.05 degrees
Element x y z (fractional)
Pd  0.606  0.278  0.561
Pd  0.722  0.394  0.939
Pd  0.845  0.616  0.162
Pd  0.394  0.722  0.439
Pd  0.838  0.162  0.250
Pd  0.278  0.606  0.061
Pd  0.162  0.838  0.750
Pd  0.384  0.155  0.338
Pd  0.155  0.384  0.838
Pd  0.616  0.845  0.662
Sn  0.476  0.524  0.250
Sn  0.524  0.476  0.750
Te  0.000  0.000  0.000
Te  0.000  0.000  0.500

No. 3
An optimized crystal structure of SnTe2Pd6. Source: Alexandria, functional PBE.

Computed properties:
Offset from the most stable computed form in eV per atom: 0.000
Formation energy (no corrections) in kcal/mol of atoms: -9.7
VASP energy in eV per atom: -5.0274

Cell lengths 10.847, 10.847, 10.847 Å; angles 158.27, 158.27, 30.92 degrees
Element x y z (fractional)
Pd  0.406  0.906  0.500
Pd  0.906  0.406  0.500
Pd  0.802  0.802  0.000
Pd  0.502  0.502  0.000
Pd  0.096  0.596  0.500
Pd  0.596  0.096  0.500
Te  0.318  0.318  0.000
Te  0.677  0.677  0.000
Sn  0.000  0.000  0.000

No. 4
An optimized crystal structure of SnTe4Pd. Source: Alexandria, functional PBE.

Computed properties:
Formation energy (no corrections) in kcal/mol of atoms: -5.2
VASP energy in eV per atom: -3.8533

Cell lengths 4.236, 5.405, 7.363 Å; angles 89.96, 90.00, 90.00 degrees
Element x y z (fractional)
Pd  0.500  0.000  0.500
Te  0.000  0.729  0.643
Te  0.500  0.299  0.803
Te  0.000  0.271  0.357
Te  0.500  0.701  0.197
Sn  0.000  0.000  0.000

No. 5
An optimized crystal structure of SnTe6Pd. Source: Alexandria, functional PBE.

Computed properties:
Formation energy (no corrections) in kcal/mol of atoms: -1.9
VASP energy in eV per atom: -3.5866

Cell lengths 7.610, 7.608, 6.649 Å; angles 55.08, 55.03, 59.99 degrees
Element x y z (fractional)
Sn  0.500  0.500  0.500
Pd  0.000  0.000  0.000
Te  0.427  0.812  0.739
Te  0.979  0.572  0.261
Te  0.573  0.188  0.261
Te  0.187  0.979  0.261
Te  0.021  0.428  0.739
Te  0.813  0.021  0.739

No. 6
An optimized crystal structure of SnTe2Pd. Source: Alexandria, functional PBE.

Computed properties:
Formation energy (no corrections) in kcal/mol of atoms: -2.0
VASP energy in eV per atom: -3.9559

Cell lengths 9.468, 9.468, 9.468 Å; angles 23.80, 23.80, 23.80 degrees
Element x y z (fractional)
Sn  0.000  0.000  0.000
Te  0.887  0.887  0.887
Te  0.113  0.113  0.113
Pd  0.500  0.500  0.500

No. 7
An optimized crystal structure of SnTe2Pd8. Source: Alexandria, functional PBE.

Computed properties:
Offset from the most stable computed form in eV per atom: 0.000
Formation energy (no corrections) in kcal/mol of atoms: -8.3
VASP energy in eV per atom: -5.0717

Cell lengths 4.156, 6.400, 7.898 Å; angles 107.84, 105.26, 90.00 degrees
Element x y z (fractional)
Pd  0.963  0.257  0.926
Pd  0.858  0.801  0.717
Pd  0.414  0.550  0.827
Pd  0.037  0.743  0.074
Pd  0.678  0.928  0.356
Pd  0.322  0.072  0.644
Pd  0.586  0.450  0.173
Pd  0.142  0.199  0.283
Te  0.804  0.342  0.608
Te  0.196  0.658  0.392
Sn  0.500  0.000  0.000

No. 8
An optimized crystal structure of SnTe2Pd. Source: Alexandria, functional PBE.

Computed properties:
Formation energy (no corrections) in kcal/mol of atoms: -3.7
VASP energy in eV per atom: -4.0315

Cell lengths 6.401, 6.401, 7.899 Å; angles 66.10, 66.10, 90.00 degrees
Element x y z (fractional)
Pd  0.500  0.500  0.000
Pd  0.250  0.750  0.500
Te  0.163  0.625  0.250
Te  0.587  0.125  0.250
Te  0.375  0.413  0.750
Te  0.875  0.837  0.750
Sn  0.750  0.250  0.500
Sn  0.000  0.000  0.000

no.,magnetic moment (μB per formula unit)
1,0.00
2,0.00
3,0.00
4,0.00
5,0.00
6,0.00
7,0.00
8,0.00